(1)
Entry from the Alexandria database: a geometry-optimized AlSi2P structure (PBE-GGA).

Output
Crystal system: orthorhombic
DFT total energy, eV for the cell shown: -19.59

The structure in POSCAR format:
```
AlSi2P
1.0
3.6000 -0.0076 -0.0198
-1.6983 5.1019 -0.0269
0.2034 1.2914 3.3545
P Si Al
1 2 1
Direct
0.5000 0.5000 0.0000
0.0000 0.0000 0.0000
0.5000 0.0000 0.5000
0.0000 0.5000 0.5000
```


(2)
Entry from the Alexandria database: a geometry-optimized AlSi2P structure (PBE-GGA).

Output
Crystal system: cubic
DFT total energy, eV for the cell shown: -18.11

The structure in POSCAR format:
```
AlSi2P
1.0
3.8275 -0.0565 2.1824
0.1750 1.3912 4.1773
0.6341 -2.8944 3.2613
P Si Al
1 2 1
Direct
0.5000 0.5000 0.5000
0.2500 0.2500 0.2500
0.7500 0.7500 0.7500
0.0000 0.0000 0.0000
```


(3)
Entry from the Alexandria database: a geometry-optimized Al2SiP structure (PBE-GGA).

Output
Crystal system: monoclinic
DFT total energy, eV for the cell shown: -17.76

The structure in POSCAR format:
```
Al2SiP
1.0
3.4869 0.0000 0.0000
0.0000 3.7562 -0.0005
0.0000 1.7814 5.0918
P Si Al
1 1 2
Direct
0.5000 0.2500 0.2500
0.5000 0.7500 0.7500
0.0000 0.0365 0.0025
0.0000 0.4635 0.4975
```


(4)
Entry from the Alexandria database: a geometry-optimized AlSi2P structure (PBE-GGA).

Output
Crystal system: orthorhombic
DFT total energy, eV for the cell shown: -18.93

The structure in POSCAR format:
```
AlSi2P
1.0
-2.5715 1.8764 -3.9690
-4.9314 -1.2257 -0.2540
3.5306 2.2396 2.8992
P Si Al
1 2 1
Direct
0.2500 0.7500 0.5000
0.0305 0.0305 0.0000
0.4695 0.4695 0.0000
0.7500 0.2500 0.5000
```


(5)
Entry from the Alexandria database: a geometry-optimized AlSiP structure (PBE-GGA).

Output
Crystal system: trigonal
DFT total energy, eV for the cell shown: -13.73

The structure in POSCAR format:
```
AlSiP
1.0
-4.3634 1.0495 -0.6620
2.4796 -1.6526 -3.4204
-0.6948 -2.4576 0.6837
P Si Al
1 1 1
Direct
0.6667 0.3333 0.3710
0.3333 0.6667 0.4421
0.0000 0.0000 0.1870
```


(6)
Entry from the Alexandria database: a geometry-optimized Al2SiP structure (PBE-GGA).

Output
Crystal system: orthorhombic
DFT total energy, eV for the cell shown: -17.69

The structure in POSCAR format:
```
Al2SiP
1.0
4.3498 -0.0715 -0.0091
-0.9887 4.2365 -0.0091
0.0076 0.0095 3.3736
P Si Al
1 1 2
Direct
0.5000 0.0000 0.5000
0.0000 0.5000 0.5000
0.0000 0.0000 0.0000
0.5000 0.5000 0.0000
```